Record 1
This record from the Alexandria database describes an optimized crystal structure of NaGeTeN2. The functional is PBE.

Values from the calculation:
- energy relative to the elements, uncorrected (eV per atom) = 1.815
- polymorph energy (0 for the lowest one) (meV/atom) = 814
- calculated total energy (eV/cell) = -16.7

a b c (Å): 4.4426 4.4426 6.0297
angles (deg): 90.00 90.00 90.00
Closest atoms and distances in Å follow each position.
Sites, in units of the cell vectors:
1 Te 0.0000 0.0000 0.5000  2 Na 3.01, 4 Ge 3.14
2 N 0.0000 0.5000 0.0000  2 Na 2.22
3 N 0.5000 0.0000 0.0000  2 Na 2.22
4 Ge 0.5000 0.5000 0.5000  4 Te 3.14
5 Na 0.0000 0.0000 0.0000  4 N 2.22

---

Record 2
This record from the Alexandria database describes an optimized crystal structure of Cs2BeSe2. The functional is PBE.

Values from the calculation:
- energy relative to the elements, uncorrected (eV per atom) = -1.035
- polymorph energy (0 for the lowest one) (meV/atom) = 2
- calculated total energy (eV/cell) = -35.2

a b c (Å): 6.3205 7.5591 8.7030
angles (deg): 115.74 111.29 90.00
Closest atoms and distances in Å follow each position.
Sites, in units of the cell vectors:
1 Se 0.5871 0.4328 0.1742  2 Be 2.33
2 Se 0.9129 0.2586 0.8258  2 Be 2.33
3 Se 0.0871 0.7414 0.1742  2 Be 2.33
4 Cs 0.1457 0.3218 0.2914  5 Se 3.51-3.84, 2 Be 3.59
5 Cs 0.8543 0.6782 0.7086  5 Se 3.51-3.84, 2 Be 3.59
6 Cs 0.6457 0.9696 0.2914  5 Se 3.51-3.84, 2 Be 3.59
7 Cs 0.3543 0.0304 0.7086  5 Se 3.51-3.84, 2 Be 3.59
8 Se 0.4129 0.5672 0.8258  2 Be 2.33
9 Be 0.2500 0.5000 0.0000  4 Se 2.33
10 Be 0.7500 0.5000 0.0000  4 Se 2.33

---

Record 3
This record from the Alexandria database describes an optimized crystal structure of Pm6Nd3Dy2. The functional is PBE.

Values from the calculation:
- formation energy (kJ/mol of formula units) = 702
- polymorph energy (0 for the lowest one) (meV/atom) = 392
- calculated total energy (eV/cell) = -44.7

a b c (Å): 4.6301 4.6301 21.1368
angles (deg): 83.71 83.71 60.00
Closest atoms and distances in Å follow each position.
Sites, in units of the cell vectors:
1 Nd 0.0000 0.0000 0.0000  6 Pm 3.43
2 Pm 0.8186 0.8186 0.5442  3 Dy 3.25, 3 Pm 3.25
3 Nd 0.2684 0.2684 0.1947  6 Pm 3.21-3.29
4 Pm 0.3676 0.3676 0.8971  6 Nd 3.29-3.43
5 Dy 0.4559 0.4559 0.6323  6 Pm 3.25
6 Pm 0.0933 0.0933 0.7201  3 Nd 3.21, 3 Dy 3.25
7 Pm 0.9067 0.9067 0.2799  3 Nd 3.21, 3 Dy 3.25
8 Pm 0.1814 0.1814 0.4558  3 Dy 3.25, 3 Pm 3.25
9 Nd 0.7316 0.7316 0.8053  6 Pm 3.21-3.29
10 Pm 0.6324 0.6324 0.1029  6 Nd 3.29-3.43
11 Dy 0.5441 0.5441 0.3677  6 Pm 3.25

---

Record 4
This record from the Alexandria database describes an optimized crystal structure of CrCdAg2. The functional is PBE.

Values from the calculation:
- formation energy (kJ/mol of formula units) = 85
- calculated total energy (eV/cell) = -15.4

a b c (Å): 5.1215 5.1215 5.1215
angles (deg): 131.96 132.05 70.22
Closest atoms and distances in Å follow each position.
Sites, in units of the cell vectors:
1 Ag 0.7501 0.2501 0.5000  4 Cr 2.95, 4 Cd 2.95-2.96, 4 Ag 2.95
2 Cd 0.5000 0.5000 0.0000  8 Ag 2.95-2.96, 4 Cr 2.95-2.96
3 Cr 0.2500 0.7500 0.5000  8 Ag 2.95-2.96, 4 Cd 2.95-2.96
4 Ag 0.9999 0.9999 0.0000  4 Cd 2.95, 4 Cr 2.95-2.96, 4 Ag 2.95

---

Record 5
This record from the Alexandria database describes an optimized crystal structure of Pr4Sm2Sn3H2. The functional is PBE.

Values from the calculation:
- calculated total energy (eV/cell) = -53.2

a b c (Å): 4.8193 4.8193 13.4255
angles (deg): 100.34 100.34 90.00
Closest atoms and distances in Å follow each position.
Sites, in units of the cell vectors:
1 Pr 0.5837 0.0837 0.1673  2 H 2.48
2 Pr 0.9163 0.4163 0.8327  2 H 2.48
3 Sn 0.1764 0.1764 0.3528  5 Sm 3.21-3.46, 4 Pr 3.41
4 Sn 0.8236 0.8236 0.6472  5 Sm 3.21-3.46, 4 Pr 3.41
5 H 0.6062 0.6062 0.2124  1 Sm 2.44, 4 Pr 2.48
6 Sm 0.2998 0.2998 0.5996  1 H 2.44
7 H 0.3938 0.3938 0.7876  1 Sm 2.44, 4 Pr 2.48
8 Sm 0.7002 0.7002 0.4004  1 H 2.44
9 Pr 0.4163 0.9163 0.8327  2 H 2.48
10 Pr 0.0837 0.5837 0.1673  2 H 2.48
11 Sn 0.0000 0.0000 0.0000  8 Pr 3.24

---

Record 6
This record from the Alexandria database describes an optimized crystal structure of MgAu4Se4Cl4O12. The functional is PBE.

Values from the calculation:
- energy relative to the elements, uncorrected (eV per atom) = -0.648
- polymorph energy (0 for the lowest one) (meV/atom) = 0
- calculated total energy (eV/cell) = -111.7

a b c (Å): 4.5632 9.8374 11.3953
angles (deg): 92.45 95.89 92.56
Closest atoms and distances in Å follow each position.
Sites, in units of the cell vectors:
1 Cl 0.2320 0.7987 0.4891  1 Au 2.31
2 Cl 0.3838 0.4853 0.6362  2 Au 2.36-2.39
3 O 0.9155 0.9934 0.3242  1 Se 1.76
4 O 0.6850 0.0489 0.1145  1 Se 1.75
5 Se 0.7454 0.1299 0.2553  3 O 1.75-1.76
6 Au 0.0583 0.4202 0.1904  3 O 2.03-2.08
7 Au 0.9470 0.9860 0.5040  2 O 2.03-2.04
8 Mg 0.1755 0.6499 0.9447  4 O 1.98-2.20
9 O 0.3705 0.3587 0.0812  1 Se 1.76
10 Se 0.2598 0.8943 0.7562  3 O 1.68-1.78
11 Cl 0.6749 0.1774 0.5203  1 Au 2.31
12 O 0.0745 0.2285 0.2504  1 Se 1.76
13 O 0.0903 0.6114 0.1273  1 Se 1.79
14 Cl 0.7632 0.4917 0.3329  1 Au 2.32
15 O 0.0791 0.8356 0.0601  1 Se 1.79
16 O 0.3089 0.0045 0.8851  1 Se 1.78
17 O 0.9268 0.2135 0.9432  1 Se 1.79
18 O 0.0890 0.7540 0.8019  1 Se 1.68
19 Se 0.8088 0.7334 0.1237  3 O 1.69-1.79
20 O 0.6130 0.6754 0.9963  1 Se 1.69
21 Au 0.0000 0.0254 0.0000  4 O 2.02-2.05
22 Se 0.2513 0.3188 0.9312  3 O 1.68-1.79
23 O 0.0730 0.4575 0.8883  1 Se 1.68
24 Au 0.8658 0.4918 0.5786  2 Cl 2.36-2.39
25 O 0.9559 0.9721 0.6812  1 Se 1.77

---

Record 7
This record from the Alexandria database describes an optimized crystal structure of Ca2H6F. The functional is PBE.

Values from the calculation:
- calculated total energy (eV/cell) = -27.6

a b c (Å): 4.8196 4.8196 4.8196
angles (deg): 60.00 60.00 60.00
Closest atoms and distances in Å follow each position.
Sites, in units of the cell vectors:
1 H 0.6537 0.3463 0.3463  4 H 1.48
2 Ca 0.7500 0.7500 0.7500  12 H 2.50
3 H 0.3463 0.6537 0.3463  4 H 1.48
4 H 0.6537 0.6537 0.3463  4 H 1.48
5 H 0.3463 0.3463 0.6537  4 H 1.48
6 H 0.6537 0.3463 0.6537  4 H 1.48
7 H 0.3463 0.6537 0.6537  4 H 1.48
8 Ca 0.2500 0.2500 0.2500  12 H 2.50
9 F 0.0000 0.0000 0.0000  6 H 2.36

---

Record 8
This record from the Alexandria database describes an optimized crystal structure of Li2CdAg8. The functional is PBE.

Values from the calculation:
- formation energy (kJ/mol of formula units) = -97
- polymorph energy (0 for the lowest one) (meV/atom) = 0
- calculated total energy (eV/cell) = -28.6

a b c (Å): 4.0885 6.6147 7.7218
angles (deg): 105.21 105.35 90.00
Closest atoms and distances in Å follow each position.
Sites, in units of the cell vectors:
1 Ag 0.9541 0.2760 0.9083  1 Li 2.85, 9 Ag 2.91-3.06, 2 Cd 2.94
2 Ag 0.0459 0.7240 0.0917  1 Li 2.85, 9 Ag 2.91-3.06, 2 Cd 2.94
3 Ag 0.1427 0.1951 0.2855  3 Li 2.84-2.90, 7 Ag 2.86-3.06, 2 Cd 2.98
4 Ag 0.8573 0.8049 0.7145  3 Li 2.84-2.90, 7 Ag 2.86-3.06, 2 Cd 2.98
5 Ag 0.6829 0.9096 0.3659  3 Li 2.86-2.88, 8 Ag 2.86-2.95, 1 Cd 2.94
6 Ag 0.3171 0.0904 0.6341  3 Li 2.86-2.88, 8 Ag 2.86-2.95, 1 Cd 2.94
7 Ag 0.4034 0.5396 0.8068  3 Li 2.84-2.93, 8 Ag 2.90-3.06, 1 Cd 2.99
8 Cd 0.5000 0.0000 0.0000  12 Ag 2.94-2.99
9 Li 0.7752 0.3537 0.5504  10 Ag 2.84-2.93, 2 Li 3.05
10 Li 0.2248 0.6463 0.4496  10 Ag 2.84-2.93, 2 Li 3.05
11 Ag 0.5966 0.4604 0.1932  3 Li 2.84-2.93, 8 Ag 2.90-3.06, 1 Cd 2.99